<a>
Here is an optimized crystal structure of RuAuF3 from Alexandria via LeMat-Bulk. Energies are from PBE.

Results
- ρ: 7.9 g cm⁻³

Lattice parameters (Å, degrees): 4.202 4.202 4.202 90.00 90.00 90.00
Fractional positions:
1 Ru 0.000 0.000 0.000
2 Au 0.500 0.500 0.500
3 F 0.000 0.500 0.000
4 F 0.000 0.000 0.500
5 F 0.500 0.000 0.000

<b>
Here is an optimized crystal structure of RuAuF3 from Alexandria via LeMat-Bulk. Energies are from PBE.

Results
- ρ: 6.8 g cm⁻³

Lattice parameters (Å, degrees): 4.433 4.433 4.433 90.00 90.00 90.00
Fractional positions:
1 Ru 0.500 0.500 0.500
2 Au 0.000 0.000 0.000
3 F 0.000 0.500 0.000
4 F 0.000 0.000 0.500
5 F 0.500 0.000 0.000

<a> is preferred energetically. Next in line: 0.603 eV/atom higher.

<a>
Here is an optimized crystal structure of AuS2F from Alexandria via LeMat-Bulk. Energies are from PBE.

Results
- ρ: 7.9 g cm⁻³

Lattice parameters (Å, degrees): 4.364 4.364 4.364 60.00 60.00 60.00
Fractional positions:
1 S 0.250 0.250 0.250
2 S 0.750 0.750 0.750
3 Au 0.500 0.500 0.500
4 F 0.000 0.000 0.000

<b>
Here is an optimized crystal structure of AuS2F from Alexandria via LeMat-Bulk. Energies are from PBE.

Results
- ρ: 7.8 g cm⁻³

Lattice parameters (Å, degrees): 8.878 8.878 8.878 18.17 18.17 18.17
Fractional positions:
1 S 0.908 0.908 0.908
2 S 0.092 0.092 0.092
3 Au 0.000 0.000 0.000
4 F 0.500 0.500 0.500

<c>
Here is an optimized crystal structure of AuS2F from Alexandria via LeMat-Bulk. Energies are from PBE.

Results
- ρ: 5.3 g cm⁻³

Lattice parameters (Å, degrees): 5.557 5.557 6.894 66.23 66.23 90.00
Fractional positions:
1 S 0.647 0.125 0.250
2 S 0.103 0.625 0.250
3 S 0.375 0.353 0.750
4 S 0.875 0.897 0.750
5 Au 0.000 0.000 0.000
6 Au 0.750 0.250 0.500
7 F 0.500 0.500 0.000
8 F 0.250 0.750 0.500

<a> is preferred energetically. Next in line: 0.034 eV/atom higher.

<a>
Here is an optimized crystal structure of Au2SF from Alexandria via LeMat-Bulk. Energies are from PBE.

Results
- ρ: 8.4 g cm⁻³

Lattice parameters (Å, degrees): 5.294 5.294 7.289 68.71 68.71 90.00
Fractional positions:
1 S 0.000 0.000 0.000
2 S 0.750 0.250 0.500
3 Au 0.659 0.125 0.250
4 Au 0.091 0.625 0.250
5 Au 0.375 0.341 0.750
6 Au 0.875 0.909 0.750
7 F 0.500 0.500 0.000
8 F 0.250 0.750 0.500

<b>
Here is an optimized crystal structure of Au2SF from Alexandria via LeMat-Bulk. Energies are from PBE.

Results
- ρ: 11.8 g cm⁻³

Lattice parameters (Å, degrees): 4.455 4.455 4.455 60.00 60.00 60.00
Fractional positions:
1 S 0.500 0.500 0.500
2 Au 0.250 0.250 0.250
3 Au 0.750 0.750 0.750
4 F 0.000 0.000 0.000

<a> is preferred energetically. Next in line: 0.132 eV/atom higher.

<a>
Here is an optimized crystal structure of Sb2AuF from Alexandria via LeMat-Bulk. Energies are from PBE.

Results
- ρ: 9.8 g cm⁻³

Lattice parameters (Å, degrees): 4.789 4.789 4.789 60.00 60.00 60.00
Fractional positions:
1 Sb 0.250 0.250 0.250
2 Sb 0.750 0.750 0.750
3 Au 0.500 0.500 0.500
4 F 0.000 0.000 0.000

<b>
Here is an optimized crystal structure of Sb2AuF from Alexandria via LeMat-Bulk. Energies are from PBE.

Results
- ρ: 8.2 g cm⁻³

Lattice parameters (Å, degrees): 4.731 4.731 8.958 74.69 74.69 90.00
Fractional positions:
1 Sb 0.573 0.125 0.250
2 Sb 0.177 0.625 0.250
3 Sb 0.375 0.427 0.750
4 Sb 0.875 0.823 0.750
5 Au 0.000 0.000 0.000
6 Au 0.750 0.250 0.500
7 F 0.500 0.500 0.000
8 F 0.250 0.750 0.500

<a> is preferred energetically. Next in line: 0.131 eV/atom higher.

<a>
Here is an optimized crystal structure of Sb2Au2F from Alexandria via LeMat-Bulk. Energies are from PBE.

Results
- ρ: 10.3 g cm⁻³

Lattice parameters (Å, degrees): 7.101 7.101 4.209 90.00 90.00 90.00
Fractional positions:
1 Sb 0.322 0.822 0.000
2 Sb 0.822 0.678 0.000
3 Sb 0.678 0.178 0.000
4 Sb 0.178 0.322 0.000
5 Au 0.141 0.641 0.500
6 Au 0.641 0.859 0.500
7 Au 0.859 0.359 0.500
8 Au 0.359 0.141 0.500
9 F 0.000 0.000 0.000
10 F 0.500 0.500 0.000

<b>
Here is an optimized crystal structure of Sb2Au2F from Alexandria via LeMat-Bulk. Energies are from PBE.

Results
- ρ: 9.7 g cm⁻³

Lattice parameters (Å, degrees): 3.958 3.958 7.711 75.13 75.13 90.00
Fractional positions:
1 Sb 0.394 0.394 0.213
2 Sb 0.606 0.606 0.787
3 Au 0.750 0.250 0.500
4 Au 0.250 0.750 0.500
5 F 0.000 0.000 0.000

<a> is preferred energetically. Next in line: 0.121 eV/atom higher.